Record 1
Compound: Ni2SbAs
Source: Alexandria
Functional: PBE-GGA
Structure: optimized geometry

The space group is Pm (No. 6) and the conventional cell measures 3.379, 3.926 and 5.006 Å, with angles of 90.00, 109.66 and 90.00 degrees. The distinct sites, in fractional coordinates, are Ni at (0.000, 0.000, 0.000), Ni at (0.168, 0.500, 0.331), Sb at (0.730, 0.000, 0.458) and As at (0.454, 0.500, 0.902).

The calculation puts the formation energy (no corrections) at -0.098 eV/atom.

---

Record 2
Compound: La2NiOsC
Source: Alexandria
Functional: PBE-GGA
Structure: optimized geometry

The space group is P4/mmm (No. 123) and the conventional cell measures 5.261, 5.261 and 3.876 Å, with angles of 90.00, 90.00 and 90.00 degrees. The distinct sites, in fractional coordinates, are La at (0.000, 0.500, 0.000), Ni at (0.000, 0.000, 0.500), Os at (0.500, 0.500, 0.500) and C at (0.500, 0.500, 0.000).

Its formation enthalpy at 0 K is -2.8 kcal/mol of atoms.

---

Record 3
Compound: AcScGe
Source: Alexandria
Functional: PBE-GGA
Structure: optimized geometry

The space group is I4/mmm (No. 139) and the conventional cell measures 4.459, 4.459 and 16.817 Å, with angles of 90.00, 90.00 and 90.00 degrees. The distinct sites, in fractional coordinates, are Ac at (0.000, 0.000, 0.174), Sc at (0.000, 0.500, 0.000) and Ge at (0.000, 0.000, 0.387).

The calculation puts the polymorph energy (0 for the lowest one) at 0.000 eV/atom. Its formation enthalpy at 0 K is -15.1 kcal/mol of atoms.

---

The evaluated calculated density for the records listed, in turn: 8.3; 8.3; 6.8 g/cm3.